PrSmCu2 | PBE | relaxed

Lattice parameters (Å, degrees): 7.168 7.168 7.168 90.00 90.00 90.00
Space group Fm-3m (No. 225)
Asymmetric unit:
1 Pr 0.000 0.000 0.000 [4 per cell]
2 Sm 0.000 0.000 0.500 [4 per cell]
3 Cu 0.250 0.250 0.250 [8 per cell]

Output
The value obtained for the energy above the most stable polymorph in this dataset is 38 meV/atom. The calculation puts the formation enthalpy at 0 K at -0.14 eV/atom. For the uncorrected energy, the calculation gives -4.5644 eV per atom. The total magnetic moment comes out at 0.000 μB/atom.